No. 1
This record from the Alexandria database describes crystalline CaPmZnIr at its relaxed geometry. The functional is PBE.

Properties
V ... 24.05 Å³ per atom
Formation energy from the elements ... -45.6 kJ per mole of atoms
Energy above the most stable polymorph in this dataset ... 0 meV/atom

Unit cell a=4.1105 b=4.1751 c=5.9699 alpha=90.00 beta=110.14 gamma=90.00
Positions (direct):
1 Pm 0.1371 0.0000 0.2742
2 Zn 0.4343 0.0000 0.8685
3 Ir 0.5739 0.5000 0.1478
4 Ca 0.8548 0.5000 0.7095

No. 2
This record from the Alexandria database describes crystalline TmScCuHg at its relaxed geometry. The functional is PBE.

Properties
V ... 20.95 Å³ per atom
Formation energy from the elements ... -34.6 kJ per mole of atoms
Energy above the most stable polymorph in this dataset ... 0 meV/atom

Unit cell a=3.3919 b=3.3919 c=7.2842 alpha=90.00 beta=90.00 gamma=90.00
Positions (direct):
1 Tm 0.0000 0.0000 0.8323
2 Hg 0.5000 0.5000 0.1232
3 Sc 0.0000 0.0000 0.3840
4 Cu 0.5000 0.5000 0.5885